# 1
The following is a DFT calculation (PBEsol) of a geometry-optimized ReRu2Se structure.

```
ReRu2Se
1.0
-0.9701 1.5207 -3.9208
-2.8449 -2.0906 -2.4823
-3.8869 1.7207 -0.7462
Re Ru Se
1 2 1
Cartesian
-3.8510 0.5754 -3.5746 Re
0.0000 0.0000 0.0000 Ru
-5.7765 0.8631 -5.3620 Ru
-1.9255 0.2877 -1.7873 Se
```

Output
- energy above the lowest structure with this stoichiometry (eV/atom) = 0.3644
- ΔE_f (raw) (eV per atom) = 0.53
- uncorrected energy (eV per atom) = -8.8489
- V (Å³ per cell) = 56.8


# 2
The following is a DFT calculation (PBEsol) of a geometry-optimized ReRuSe structure.

```
ReRuSe
1.0
2.8988 0.0000 0.0000
0.0000 4.1789 0.0000
0.0000 -2.0894 3.6190
Re Ru Se
1 1 1
Cartesian
0.4835 0.0000 0.0000 Re
1.9324 0.0000 2.4127 Ru
0.4830 2.0894 1.2063 Se
```

Output
- ΔE_f (raw) (eV per atom) = 0.38
- uncorrected energy (eV per atom) = -8.7401
- V (Å³ per cell) = 43.8


# 3
The following is a DFT calculation (PBEsol) of a geometry-optimized ReRu2Se structure.

```
ReRu2Se
1.0
2.8059 0.0000 0.0000
1.4030 2.4300 0.0000
1.4030 0.8100 8.3316
Re Ru Se
1 2 1
Cartesian
0.0000 0.0000 0.0000 Re
1.4030 0.8100 2.1293 Ru
4.2089 2.4300 6.2023 Ru
2.8059 1.6200 4.1658 Se
```

Output
- energy above the lowest structure with this stoichiometry (eV/atom) = 0.0000
- ΔE_f (raw) (eV per atom) = 0.17
- uncorrected energy (eV per atom) = -9.2133
- V (Å³ per cell) = 56.8


# 4
The following is a DFT calculation (PBEsol) of a geometry-optimized ReRu2Se structure.

```
ReRu2Se
1.0
2.9046 0.0000 0.0000
0.0000 4.3817 0.0000
-1.4523 -2.1908 4.3859
Re Ru Se
1 2 1
Cartesian
1.4523 0.0000 0.0000 Re
1.4523 2.1908 1.9977 Ru
0.0000 0.0000 2.3882 Ru
0.0000 2.1908 0.0000 Se
```

Output
- energy above the lowest structure with this stoichiometry (eV/atom) = 0.1513
- ΔE_f (raw) (eV per atom) = 0.32
- uncorrected energy (eV per atom) = -9.0620
- V (Å³ per cell) = 55.8


# 5
The following is a DFT calculation (PBEsol) of a geometry-optimized ReRu2Se structure.

```
ReRu2Se
1.0
-0.3735 -2.7858 -0.1823
1.0369 -0.4266 4.3946
-4.3741 0.5156 1.0822
Re Ru Se
1 2 1
Cartesian
-0.1867 -1.3929 -0.0912 Re
-2.1871 0.2578 0.5411 Ru
0.5185 -0.2133 2.1973 Ru
-1.8553 -1.3484 2.6472 Se
```

Output
- energy above the lowest structure with this stoichiometry (eV/atom) = 0.3656
- ΔE_f (raw) (eV per atom) = 0.53
- uncorrected energy (eV per atom) = -8.8477
- V (Å³ per cell) = 57.9


# 6
The following is a DFT calculation (PBEsol) of a geometry-optimized Re2SiRu structure.

```
Re2SiRu
1.0
-2.4759 3.3460 -0.9292
-3.4043 0.8703 2.4172
0.0066 3.4277 2.5377
Re Ru Si
2 1 1
Cartesian
0.0000 0.0000 0.0000 Re
-4.4052 5.7330 3.0192 Re
-2.9368 3.8220 2.0128 Ru
-1.4684 1.9110 1.0064 Si
```

Output
- ΔE_f (raw) (eV per atom) = 0.07
- uncorrected energy (eV per atom) = -10.5801
- V (Å³ per cell) = 54.9


# 7
The following is a DFT calculation (PBEsol) of a geometry-optimized ReSiRu2 structure.

```
ReSiRu2
1.0
-0.5847 0.6312 -2.6404
-3.6384 0.6058 0.9505
1.0697 4.9428 0.9447
Re Ru Si
1 2 1
Cartesian
-1.2914 4.4079 -0.1207 Re
1.0381 4.7967 0.9168 Ru
-1.8012 2.0523 -0.5709 Ru
0.5058 2.3371 0.4467 Si
```

Output
- ΔE_f (raw) (eV per atom) = -0.09
- uncorrected energy (eV per atom) = -9.9422
- V (Å³ per cell) = 54.4


# 8
The following is a DFT calculation (PBEsol) of a geometry-optimized ReSiRu2 structure.

```
ReSiRu2
1.0
-2.5002 0.4291 1.0163
-2.0042 -1.7889 -0.5010
0.5472 -4.6570 6.9864
Re Ru Si
1 2 1
Cartesian
0.0000 0.0000 0.0000 Re
-0.9601 -1.5641 1.9726 Ru
-2.9971 -4.4527 5.5291 Ru
-1.9786 -3.0084 3.7509 Si
```

Output
- ΔE_f (raw) (eV per atom) = -0.18
- uncorrected energy (eV per atom) = -10.0349
- V (Å³ per cell) = 53.5


Repeat the sixth record exactly.
The following is a DFT calculation (PBEsol) of a geometry-optimized Re2SiRu structure.

```
Re2SiRu
1.0
-2.4759 3.3460 -0.9292
-3.4043 0.8703 2.4172
0.0066 3.4277 2.5377
Re Ru Si
2 1 1
Cartesian
0.0000 0.0000 0.0000 Re
-4.4052 5.7330 3.0192 Re
-2.9368 3.8220 2.0128 Ru
-1.4684 1.9110 1.0064 Si
```

Output
- ΔE_f (raw) (eV per atom) = 0.07
- uncorrected energy (eV per atom) = -10.5801
- V (Å³ per cell) = 54.9


Q: Number 4 is which compound?
A: ReRu2Se


Q: What is the V in the fourth record?
A: 55.8 Å³ per cell